A relaxed PrSmSc2 crystal, computed with PBE-GGA.

## Properties
space group = P4/mmm
energy above the most stable polymorph in this dataset = 0.00 eV per formula unit
formation energy = 0.052 eV/atom

```
PrSmSc2
1.0
3.5916 0.0000 0.0000
0.0000 3.5916 0.0000
0.0000 0.0000 9.0911
Pr Sm Sc
1 1 2
direct
0.0000 0.0000 0.0000 Pr
0.0000 0.0000 0.5000 Sm
0.5000 0.5000 0.2529 Sc
0.5000 0.5000 0.7471 Sc
```

***

A relaxed Pr6Sm2Sc3 crystal, computed with PBE-GGA.

## Properties
space group = C2/m
formation energy = 0.051 eV/atom

```
Pr6Sm2Sc3
1.0
5.6824 -2.5317 0.0000
5.6824 2.5317 0.0000
-3.3861 0.0000 12.3273
Pr Sm Sc
6 2 3
direct
0.0424 0.0424 0.3144 Pr
0.2261 0.2261 0.5907 Pr
0.3202 0.3202 0.2186 Pr
0.6798 0.6798 0.7814 Pr
0.7739 0.7739 0.4093 Pr
0.9576 0.9576 0.6856 Pr
0.4040 0.4040 0.8729 Sm
0.5960 0.5960 0.1271 Sm
0.1342 0.1342 0.9569 Sc
0.5000 0.5000 0.5000 Sc
0.8658 0.8658 0.0431 Sc
```

***

A relaxed PrSm3Sc2 crystal, computed with PBE-GGA.

## Properties
space group = C2/c
energy above the most stable polymorph in this dataset = 0.00 eV per formula unit
formation energy = 0.174 eV/atom

```
PrSm3Sc2
1.0
4.5573 -6.7089 0.0000
4.5573 6.7089 0.0000
-1.4667 0.0000 6.2073
Pr Sm Sc
2 6 4
direct
0.0817 0.9183 0.7500 Pr
0.9183 0.0817 0.2500 Pr
0.1966 0.8034 0.2500 Sm
0.2641 0.4055 0.0644 Sm
0.4055 0.2641 0.5644 Sm
0.5945 0.7359 0.4356 Sm
0.7359 0.5945 0.9356 Sm
0.8034 0.1966 0.7500 Sm
0.1772 0.5182 0.6001 Sc
0.4818 0.8228 0.8999 Sc
0.5182 0.1772 0.1001 Sc
0.8228 0.4818 0.3999 Sc
```

***

A relaxed TbPr2Sm4Sc crystal, computed with PBE-GGA.

## Properties
space group = P2/m
formation energy = 0.032 eV/atom

```
TbPr2Sm4Sc
1.0
5.0822 0.0000 0.0000
0.0000 5.0901 0.0000
-0.0087 0.0000 10.1689
Tb Pr Sm Sc
1 2 4 1
direct
0.0000 0.0000 0.0000 Tb
0.0000 0.0000 0.5000 Pr
0.5000 0.5000 0.0000 Pr
0.0004 0.5000 0.2552 Sm
0.9996 0.5000 0.7448 Sm
0.5002 0.0000 0.2545 Sm
0.4998 0.0000 0.7455 Sm
0.5000 0.5000 0.5000 Sc
```

***

Copy entry 2 word for word.
A relaxed Pr6Sm2Sc3 crystal, computed with PBE-GGA.

## Properties
space group = C2/m
formation energy = 0.051 eV/atom

```
Pr6Sm2Sc3
1.0
5.6824 -2.5317 0.0000
5.6824 2.5317 0.0000
-3.3861 0.0000 12.3273
Pr Sm Sc
6 2 3
direct
0.0424 0.0424 0.3144 Pr
0.2261 0.2261 0.5907 Pr
0.3202 0.3202 0.2186 Pr
0.6798 0.6798 0.7814 Pr
0.7739 0.7739 0.4093 Pr
0.9576 0.9576 0.6856 Pr
0.4040 0.4040 0.8729 Sm
0.5960 0.5960 0.1271 Sm
0.1342 0.1342 0.9569 Sc
0.5000 0.5000 0.5000 Sc
0.8658 0.8658 0.0431 Sc
```

***

- The highest formation energy belongs to which entry?
  PrSm3Sc2